## ErTlAgS2 (PBE)

Data for a relaxed structure of ErTlAgS2.

Unit cell a=6.0143 b=6.3569 c=7.3441 alpha=104.41 beta=90.00 gamma=90.00
Fractional coordinates of all 10 atoms:
Er 0.5205 0.0000 0.2500
Er 0.4795 0.0000 0.7500
Tl 0.1906 0.5000 0.7500
Tl 0.8094 0.5000 0.2500
Ag 0.0000 0.0000 0.0000
Ag 0.0000 0.0000 0.5000
S 0.6841 0.7531 0.9337
S 0.6841 0.2469 0.5663
S 0.3159 0.7531 0.4337
S 0.3159 0.2469 0.0663

Calculated values
formation energy (no corrections)	-79	kJ/mol of atoms
magnetic moment	0.000	μB per atom
uncorrected energy	-4.422	eV/atom
space group	No. 13